# 1
DFT (meta-GGA SCAN) results for a crystal of MgTaSb2Te relaxed with PBEsol.

Geometry as POSCAR:
```
MgTaSb2Te
1.0
-4.501 1.959 2.100
1.303 -2.087 4.738
2.559 4.507 1.281
Sb Mg Te Ta
2 1 1 1
Direct
0.000 0.000 0.500 Sb
0.000 0.500 0.000 Sb
0.500 0.500 0.500 Mg
0.500 0.000 0.000 Te
0.000 0.000 0.000 Ta
```

Properties
- Formation energy from raw total energies: 0.41 eV per atom
- M_tot: 0.000 μB/cell
- SG: No. 123
- Raw total energy: -36.252 eV per atom

---

# 2
DFT (meta-GGA SCAN) results for a crystal of SrMnHg relaxed with PBEsol.

Geometry as POSCAR:
```
SrMnHg
1.0
-2.902 -1.902 1.135
2.210 -2.362 1.693
0.118 5.269 3.260
Hg Mn Sr
1 1 1
Direct
0.963 0.963 0.927 Hg
0.373 0.373 0.747 Mn
0.663 0.663 0.327 Sr
```

Properties
- M_tot: 4.350 μB/cell
- SG: No. 107
- Raw total energy: -36.430 eV per atom
- ΔH_f (0 K): -0.6 eV per formula unit

---

# 3
DFT (meta-GGA SCAN) results for a crystal of NiPdC3 relaxed with PBEsol.

Geometry as POSCAR:
```
NiPdC3
1.0
-0.141 3.028 -2.467
-3.628 0.812 1.204
1.445 2.334 2.782
Ni C Pd
1 3 1
Direct
0.500 0.500 0.500 Ni
0.000 0.500 0.000 C
0.000 0.000 0.500 C
0.500 0.000 0.000 C
0.000 0.000 0.000 Pd
```

Properties
- M_tot: 0.000 μB/cell
- SG: No. 221
- Raw total energy: -12.872 eV per atom
- ΔH_f (0 K): 14.9 eV per formula unit

---

# 4
DFT (meta-GGA SCAN) results for a crystal of NpSnRh2 relaxed with PBEsol.

Geometry as POSCAR:
```
NpSnRh2
1.0
4.653 0.000 0.000
2.326 4.029 0.000
2.326 1.343 3.799
Np Rh Sn
1 2 1
Direct
0.000 0.000 0.000 Np
0.250 0.250 0.250 Rh
0.750 0.750 0.750 Rh
0.500 0.500 0.500 Sn
```

Properties
- M_tot: 3.396 μB/cell
- SG: No. 225
- Raw total energy: -52.900 eV per atom
- ΔH_f (0 K): -1.1 eV per formula unit

---

# 5
DFT (meta-GGA SCAN) results for a crystal of AlZn2Tc relaxed with PBEsol.

Geometry as POSCAR:
```
AlZn2Tc
1.0
-0.260 -2.106 2.875
2.422 -2.219 -1.406
2.034 4.363 1.158
Zn Tc Al
2 1 1
Direct
0.250 0.750 0.500 Zn
0.750 0.250 0.500 Zn
0.000 0.000 0.000 Tc
0.500 0.500 0.000 Al
```

Properties
- M_tot: 0.000 μB/cell
- SG: No. 139
- Raw total energy: -17.737 eV per atom
- ΔH_f (0 K): -1.1 eV per formula unit

---

# 6
DFT (meta-GGA SCAN) results for a crystal of ScCd2Si relaxed with PBEsol.

Geometry as POSCAR:
```
ScCd2Si
1.0
-0.902 -2.323 -1.888
-1.991 -1.774 3.134
-4.504 4.232 -0.467
Cd Sc Si
2 1 1
Direct
0.187 0.000 0.375 Cd
0.570 0.500 0.140 Cd
0.916 0.000 0.833 Sc
0.342 0.500 0.684 Si
```

Properties
- Formation energy from raw total energies: -0.21 eV per atom
- M_tot: 0.000 μB/cell
- SG: No. 38
- Raw total energy: -21.479 eV per atom

---

# 7
DFT (meta-GGA SCAN) results for a crystal of AlAs2Au relaxed with PBEsol.

Geometry as POSCAR:
```
AlAs2Au
1.0
3.614 0.000 0.000
0.000 3.959 -0.018
-1.807 -1.775 5.353
As Au Al
2 1 1
Direct
0.764 0.801 0.527 As
0.236 0.199 0.473 As
0.000 0.000 0.000 Au
0.500 0.500 0.000 Al
```

Properties
- M_tot: 0.000 μB/cell
- SG: No. 12
- Raw total energy: -29.521 eV per atom
- ΔH_f (0 K): -0.8 eV per formula unit

---

# 8
DFT (meta-GGA SCAN) results for a crystal of SrLaCrO4 relaxed with PBEsol.

Geometry as POSCAR:
```
SrLaCrO4
1.0
3.847 0.000 0.000
0.000 3.847 0.000
-1.923 -1.923 6.153
Sr Cr O La
1 1 4 1
Direct
0.642 0.642 0.283 Sr
0.004 0.004 0.009 Cr
0.837 0.837 0.675 O
0.167 0.167 0.335 O
0.994 0.494 0.987 O
0.494 0.994 0.987 O
0.360 0.360 0.719 La
```

Properties
- Formation energy from raw total energies: -3.22 eV per atom
- M_tot: 3.000 μB/cell
- SG: No. 107
- Raw total energy: -18.748 eV per atom

---

# 9
DFT (meta-GGA SCAN) results for a crystal of AgTe2 relaxed with PBEsol.

Geometry as POSCAR:
```
AgTe2
1.0
-1.099 2.715 -0.751
-4.397 -1.035 2.695
2.162 2.072 4.324
Te Ag
2 1
Direct
0.500 0.000 0.500 Te
0.500 0.500 0.000 Te
0.000 0.000 0.000 Ag
```

Properties
- Formation energy from raw total energies: 0.20 eV per atom
- M_tot: 0.000 μB/cell
- SG: No. 123
- Raw total energy: -35.087 eV per atom

---

# 10
DFT (meta-GGA SCAN) results for a crystal of Lu2TeO6 relaxed with PBEsol.

Geometry as POSCAR:
```
Lu2TeO6
1.0
-2.676 -3.125 2.570
4.024 -1.731 2.085
-0.858 6.612 7.147
Lu Te O
4 2 12
Direct
0.000 0.000 0.335 Lu
0.000 0.000 0.665 Lu
0.500 0.500 0.165 Lu
0.500 0.500 0.835 Lu
0.000 0.000 0.000 Te
0.500 0.500 0.500 Te
0.186 0.186 0.150 O
0.186 0.186 0.850 O
0.216 0.216 0.500 O
0.284 0.716 0.000 O
0.314 0.686 0.350 O
0.314 0.686 0.650 O
0.686 0.314 0.350 O
0.686 0.314 0.650 O
0.716 0.284 0.000 O
0.784 0.784 0.500 O
0.814 0.814 0.150 O
0.814 0.814 0.850 O
```

Properties
- Formation energy from raw total energies: -2.83 eV per atom
- E above lowest polymorph: 39 meV per atom
- M_tot: 0.000 μB/cell
- SG: No. 136
- Raw total energy: -23.418 eV per atom

---

# 11
DFT (meta-GGA SCAN) results for a crystal of BaSrSb relaxed with PBEsol.

Geometry as POSCAR:
```
BaSrSb
1.0
-3.384 -1.307 -2.239
-1.175 -2.509 3.240
-1.483 7.100 2.155
Ba Sb Sr
1 1 1
Direct
0.960 0.960 0.920 Ba
0.326 0.326 0.651 Sb
0.714 0.714 0.429 Sr
```

Properties
- Formation energy from raw total energies: -0.76 eV per atom
- E above lowest polymorph: 160 meV per atom
- M_tot: 0.827 μB/cell
- SG: No. 107
- Raw total energy: -33.790 eV per atom

---

# 12
DFT (meta-GGA SCAN) results for a crystal of Hf2GeOsBr relaxed with PBEsol.

Geometry as POSCAR:
```
Hf2GeOsBr
1.0
4.624 0.000 0.000
0.000 5.066 0.000
0.000 0.000 5.066
Hf Ge Os Br
2 1 1 1
Direct
0.000 0.000 0.500 Hf
0.000 0.500 0.000 Hf
0.500 0.000 0.000 Ge
0.000 0.000 0.000 Os
0.500 0.500 0.500 Br
```

Properties
- Formation energy from raw total energies: 0.12 eV per atom
- M_tot: 0.000 μB/cell
- SG: No. 123
- Raw total energy: -47.035 eV per atom